# 1
The following is a DFT calculation (PBE) of a relaxed LaIr2Pt crystal.

The calculation puts the polymorph energy (0 for the lowest one) at 0.3904 eV per atom. As for the formation energy: 0.06 eV per atom. The value obtained for the total moment is 0.00 μB per cell. The calculation puts the density of states at the Fermi level at 27.85 states/eV/cell.

a b c (Å): 6.686 6.686 6.686
angles (deg): 90.00 90.00 90.00
Space group Fm-3m (No. 225)
Symmetry-distinct sites (fractional):
La1 0.000 0.000 0.000 x4
Ir1 0.250 0.250 0.250 x8
Pt1 0.000 0.000 0.500 x4


# 2
The following is a DFT calculation (PBE) of a relaxed LaIr2Pt crystal.

The calculation puts the polymorph energy (0 for the lowest one) at 0.4173 eV per atom. As for the formation energy: 0.08 eV per atom. The value obtained for the total moment is 0.00 μB per cell. The calculation puts the density of states at the Fermi level at 4.92 states/eV/cell.

a b c (Å): 2.953 2.953 8.320
angles (deg): 90.00 90.00 90.00
Space group P4/mmm (No. 123)
Symmetry-distinct sites (fractional):
La1 0.000 0.000 0.000 x1
Ir1 0.500 0.500 0.282 x2
Pt1 0.000 0.000 0.500 x1


# 3
The following is a DFT calculation (PBE) of a relaxed LaIrPt2 crystal.

The calculation puts the polymorph energy (0 for the lowest one) at 0.3668 eV per atom. As for the formation energy: -0.32 eV per atom. The value obtained for the total moment is 0.00 μB per cell. The calculation puts the density of states at the Fermi level at 1.40 states/eV/cell.

a b c (Å): 3.590 3.590 6.151
angles (deg): 90.00 90.00 90.00
Space group P4mm (No. 99)
Symmetry-distinct sites (fractional):
La1 0.000 0.000 0.000 x1
Ir1 0.500 0.500 0.684 x1
Pt1 0.000 0.000 0.533 x1
Pt2 0.500 0.500 0.255 x1


# 4
The following is a DFT calculation (PBE) of a relaxed La7IrPt5 crystal.

As for the formation energy: -1.03 eV per atom. The value obtained for the total moment is 0.00 μB per cell. The calculation puts the density of states at the Fermi level at 26.09 states/eV/cell.

a b c (Å): 14.114 4.169 24.942
angles (deg): 90.00 90.02 90.00
Space group Cm (No. 8)
Symmetry-distinct sites (fractional):
La1 0.000 0.000 0.000 x2
La2 0.000 0.000 0.144 x2
La3 0.052 0.500 0.860 x2
La4 0.053 0.500 0.284 x2
La5 0.097 0.000 0.712 x2
La6 0.099 0.000 0.432 x2
La7 0.121 0.500 0.572 x2
La8 0.254 0.500 0.072 x2
La9 0.277 0.000 0.212 x2
La10 0.277 0.000 0.932 x2
La11 0.322 0.500 0.784 x2
La12 0.323 0.500 0.360 x2
La13 0.375 0.000 0.500 x2
La14 0.375 0.000 0.644 x2
Ir1 0.396 0.000 0.072 x2
Ir2 0.479 0.500 0.573 x2
Pt1 0.143 0.500 0.174 x2
Pt2 0.143 0.500 0.970 x2
Pt3 0.187 0.000 0.822 x2
Pt4 0.188 0.000 0.322 x2
Pt5 0.232 0.500 0.674 x2
Pt6 0.233 0.500 0.470 x2
Pt7 0.412 0.500 0.895 x2
Pt8 0.413 0.500 0.250 x2
Pt9 0.463 0.000 0.395 x2
Pt10 0.463 0.000 0.750 x2